## As2IrAu (PBE-GGA)

Data for As2IrAu after structural relaxation.

Geometry as extended XYZ:
```
4
Lattice="-2.2181 1.4081 1.5080 -2.7924 -2.1620 -2.0886 0.1450 -4.0151 3.9624" Properties=species:S:1:pos:R:3 pbc="T T T"
Ir -2.3870 -3.6531 2.9428
As -2.4651 -1.4891 0.8072
As 0.1358 -3.7611 3.7117
Au 0.0682 -1.8884 1.8636
```

Values from the calculation:
Polymorph energy (0 for the lowest one), kJ/mol of atoms: 26.8
Formation enthalpy at 0 K, eV per formula unit: 0.905
N(E_F), states/eV/cell: 2.20
Space group: Pmm2 (25)
Total energy, eV/atom: -5.133

---

## LiCu2NiGe (PBE-GGA)

Data for LiCu2NiGe after structural relaxation.

Geometry as extended XYZ:
```
5
Lattice="4.4496 0.0000 0.0000 0.0000 4.4496 0.0000 0.0000 0.0000 4.1303" Properties=species:S:1:pos:R:3 pbc="T T T"
Cu 2.2248 0.0000 0.0000
Cu 0.0000 2.2248 0.0000
Ge 2.2248 2.2248 2.0651
Li 0.0000 0.0000 2.0651
Ni 0.0000 0.0000 0.0000
```

Values from the calculation:
Formation enthalpy at 0 K, eV per formula unit: 2.936
N(E_F), states/eV/cell: 3.16
Space group: P4/mmm (123)
Total energy, eV/atom: -3.514

---

## CaNiP (PBE-GGA)

Data for CaNiP after structural relaxation.

Geometry as extended XYZ:
```
6
Lattice="4.0962 0.0000 0.0000 0.0000 4.0962 0.0000 0.0000 0.0000 7.9357" Properties=species:S:1:pos:R:3 pbc="T T T"
Ca 0.0000 0.0000 5.9518
Ca 0.0000 0.0000 1.9839
P 2.0481 2.0481 0.0000
P 2.0481 2.0481 3.9678
Ni 2.0481 0.0000 3.9678
Ni 0.0000 2.0481 0.0000
```

Values from the calculation:
Formation enthalpy at 0 K, eV per formula unit: -1.507
N(E_F), states/eV/cell: 2.98
Space group: P4_2/mmc (131)
Total energy, eV/atom: -4.900

---

- What is the formula in the first record?
  As2IrAu